A relaxed structure of AcTcB2O8, computed with PBE.

CIF file:
```
data_AcTcB2O8
_chemical_formula_sum 'Ac1 Tc1 B2 O8'
_cell_length_a 4.666
_cell_length_b 4.666
_cell_length_c 7.351
_cell_angle_alpha 93.81
_cell_angle_beta 93.81
_cell_angle_gamma 64.70
_space_group_name_H-M_alt 'P 1'
_space_group_IT_number 1
_space_group_name_Hall 'P 1'
loop_
_atom_site_label
_atom_site_type_symbol
_atom_site_fract_x
_atom_site_fract_y
_atom_site_fract_z
_atom_site_occupancy
Ac1 Ac 0.000 0.000 0.000 1
Tc1 Tc 0.000 0.000 0.500 1
B1 B 0.367 0.367 0.719 1
B2 B 0.633 0.633 0.281 1
O1 O 0.228 0.228 0.569 1
O2 O 0.239 0.713 0.687 1
O3 O 0.287 0.761 0.313 1
O4 O 0.309 0.309 0.895 1
O5 O 0.691 0.691 0.105 1
O6 O 0.713 0.239 0.687 1
O7 O 0.761 0.287 0.313 1
O8 O 0.772 0.772 0.431 1
```

## Properties
energy: -93.15 eV/f.u.
density of states at the Fermi level: 1.57 states/eV/f.u.
magnetic moment: 0.0 μB per cell
SG: C2/m, No. 12

A relaxed structure of Ac4AgPt2, computed with PBE.

CIF file:
```
data_Ac4AgPt2
_chemical_formula_sum 'Ac8 Ag2 Pt4'
_cell_length_a 8.621
_cell_length_b 8.621
_cell_length_c 8.621
_cell_angle_alpha 109.56
_cell_angle_beta 109.48
_cell_angle_gamma 109.37
_space_group_name_H-M_alt 'P 1'
_space_group_IT_number 1
_space_group_name_Hall 'P 1'
loop_
_atom_site_label
_atom_site_type_symbol
_atom_site_fract_x
_atom_site_fract_y
_atom_site_fract_z
_atom_site_occupancy
Ac1 Ac 0.209 0.269 0.561 1
Ac2 Ac 0.209 0.648 0.939 1
Ac3 Ac 0.270 0.209 0.061 1
Ac4 Ac 0.352 0.791 0.561 1
Ac5 Ac 0.648 0.209 0.439 1
Ac6 Ac 0.730 0.791 0.939 1
Ac7 Ac 0.791 0.352 0.061 1
Ac8 Ac 0.791 0.731 0.439 1
Ag1 Ag 0.124 0.874 0.250 1
Ag2 Ag 0.876 0.126 0.750 1
Pt1 Pt 0.000 0.500 0.500 1
Pt2 Pt 0.500 0.000 0.000 1
Pt3 Pt 0.500 0.500 0.000 1
Pt4 Pt 0.500 0.500 0.500 1
```

## Properties
energy: -36.30 eV/f.u.
density of states at the Fermi level: 7.44 states/eV/f.u.
magnetic moment: 0.0 μB per cell
SG: Imma, No. 74

A relaxed structure of InSn2Ir, computed with PBE.

CIF file:
```
data_InSn2Ir
_chemical_formula_sum 'In2 Sn4 Ir2'
_cell_length_a 9.412
_cell_length_b 9.412
_cell_length_c 9.412
_cell_angle_alpha 150.81
_cell_angle_beta 150.81
_cell_angle_gamma 41.75
_space_group_name_H-M_alt 'P 1'
_space_group_IT_number 1
_space_group_name_Hall 'P 1'
loop_
_atom_site_label
_atom_site_type_symbol
_atom_site_fract_x
_atom_site_fract_y
_atom_site_fract_z
_atom_site_occupancy
In1 In 0.000 0.000 0.000 1
In2 In 0.750 0.250 0.500 1
Sn1 Sn 0.175 0.625 0.050 1
Sn2 Sn 0.375 0.425 0.550 1
Sn3 Sn 0.575 0.125 0.950 1
Sn4 Sn 0.875 0.825 0.450 1
Ir1 Ir 0.250 0.750 0.500 1
Ir2 Ir 0.500 0.500 0.000 1
```

## Properties
energy: -18.64 eV/f.u.
density of states at the Fermi level: 2.27 states/eV/f.u.
magnetic moment: 0.0 μB per cell
SG: I-42d, No. 122

A relaxed structure of K3Tb2HoSe6, computed with PBE.

CIF file:
```
data_K3Tb2HoSe6
_chemical_formula_sum 'K3 Tb2 Ho1 Se6'
_cell_length_a 7.308
_cell_length_b 7.308
_cell_length_c 8.061
_cell_angle_alpha 98.69
_cell_angle_beta 98.69
_cell_angle_gamma 120.00
_space_group_name_H-M_alt 'P 1'
_space_group_IT_number 1
_space_group_name_Hall 'P 1'
loop_
_atom_site_label
_atom_site_type_symbol
_atom_site_fract_x
_atom_site_fract_y
_atom_site_fract_z
_atom_site_occupancy
K1 K 0.000 0.000 0.000 1
K2 K 0.333 0.667 0.000 1
K3 K 0.667 0.333 0.000 1
Tb1 Tb 0.167 0.833 0.500 1
Tb2 Tb 0.833 0.167 0.500 1
Ho1 Ho 0.500 0.500 0.500 1
Se1 Se 0.100 0.432 0.295 1
Se2 Se 0.237 0.237 0.705 1
Se3 Se 0.432 0.100 0.295 1
Se4 Se 0.568 0.900 0.705 1
Se5 Se 0.763 0.763 0.295 1
Se6 Se 0.900 0.568 0.705 1
```

## Properties
energy: -59.22 eV/f.u.
density of states at the Fermi level: 0.00 states/eV/f.u.
magnetic moment: 0.0 μB per cell
SG: C2/m, No. 12

A relaxed structure of Li2YHoAu4, computed with PBE.

CIF file:
```
data_Li2YHoAu4
_chemical_formula_sum 'Li2 Y1 Ho1 Au4'
_cell_length_a 8.270
_cell_length_b 8.270
_cell_length_c 8.270
_cell_angle_alpha 34.50
_cell_angle_beta 34.50
_cell_angle_gamma 34.50
_space_group_name_H-M_alt 'P 1'
_space_group_IT_number 1
_space_group_name_Hall 'P 1'
loop_
_atom_site_label
_atom_site_type_symbol
_atom_site_fract_x
_atom_site_fract_y
_atom_site_fract_z
_atom_site_occupancy
Li1 Li 0.250 0.250 0.250 1
Li2 Li 0.750 0.750 0.750 1
Y1 Y 0.000 0.000 0.000 1
Ho1 Ho 0.500 0.500 0.500 1
Au1 Au 0.129 0.129 0.129 1
Au2 Au 0.373 0.373 0.373 1
Au3 Au 0.627 0.627 0.627 1
Au4 Au 0.871 0.871 0.871 1
```

## Properties
energy: -33.71 eV/f.u.
density of states at the Fermi level: 4.51 states/eV/f.u.
magnetic moment: 0.0 μB per cell
SG: R-3m, No. 166

A relaxed structure of Sm6Bi2Te3Pb, computed with PBE.

CIF file:
```
data_Sm6Bi2Te3Pb
_chemical_formula_sum 'Sm6 Bi2 Te3 Pb1'
_cell_length_a 10.068
_cell_length_b 10.068
_cell_length_c 8.993
_cell_angle_alpha 102.63
_cell_angle_beta 102.63
_cell_angle_gamma 25.92
_space_group_name_H-M_alt 'P 1'
_space_group_IT_number 1
_space_group_name_Hall 'P 1'
loop_
_atom_site_label
_atom_site_type_symbol
_atom_site_fract_x
_atom_site_fract_y
_atom_site_fract_z
_atom_site_occupancy
Sm1 Sm 0.000 0.000 0.243 1
Sm2 Sm 0.000 0.000 0.757 1
Sm3 Sm 0.333 0.333 0.418 1
Sm4 Sm 0.336 0.336 0.918 1
Sm5 Sm 0.664 0.664 0.082 1
Sm6 Sm 0.667 0.667 0.582 1
Bi1 Bi 0.167 0.167 0.333 1
Bi2 Bi 0.833 0.833 0.667 1
Te1 Te 0.168 0.168 0.833 1
Te2 Te 0.500 0.500 0.500 1
Te3 Te 0.832 0.832 0.167 1
Pb1 Pb 0.500 0.500 0.000 1
```

## Properties
energy: -62.70 eV/f.u.
density of states at the Fermi level: 4.64 states/eV/f.u.
magnetic moment: 0.0 μB per cell
SG: C2/m, No. 12

A relaxed structure of TaTl3In, computed with PBE.

CIF file:
```
data_TaTl3In
_chemical_formula_sum 'Ta1 Tl3 In1'
_cell_length_a 5.616
_cell_length_b 5.616
_cell_length_c 5.616
_cell_angle_alpha 90.00
_cell_angle_beta 90.00
_cell_angle_gamma 90.00
_space_group_name_H-M_alt 'P 1'
_space_group_IT_number 1
_space_group_name_Hall 'P 1'
loop_
_atom_site_label
_atom_site_type_symbol
_atom_site_fract_x
_atom_site_fract_y
_atom_site_fract_z
_atom_site_occupancy
Ta1 Ta 0.000 0.000 0.000 1
Tl1 Tl 0.000 0.500 0.500 1
Tl2 Tl 0.500 0.000 0.500 1
Tl3 Tl 0.500 0.500 0.000 1
In1 In 0.500 0.500 0.500 1
```

## Properties
energy: -14.49 eV/f.u.
density of states at the Fermi level: 10.58 states/eV/f.u.
magnetic moment: 3.4 μB per cell
SG: Pm-3m, No. 221

A relaxed structure of LaPuIn2Te4, computed with PBE.

CIF file:
```
data_LaPuIn2Te4
_chemical_formula_sum 'La1 Pu1 In2 Te4'
_cell_length_a 7.878
_cell_length_b 4.546
_cell_length_c 8.489
_cell_angle_alpha 90.00
_cell_angle_beta 108.04
_cell_angle_gamma 90.00
_space_group_name_H-M_alt 'P 1'
_space_group_IT_number 1
_space_group_name_Hall 'P 1'
loop_
_atom_site_label
_atom_site_type_symbol
_atom_site_fract_x
_atom_site_fract_y
_atom_site_fract_z
_atom_site_occupancy
La1 La 0.000 0.000 0.000 1
Pu1 Pu 0.500 0.500 0.000 1
In1 In 0.000 0.500 0.500 1
In2 In 0.500 0.000 0.500 1
Te1 Te 0.249 0.500 0.228 1
Te2 Te 0.268 0.000 0.778 1
Te3 Te 0.732 0.000 0.222 1
Te4 Te 0.751 0.500 0.772 1
```

## Properties
energy: -44.28 eV/f.u.
density of states at the Fermi level: 14.69 states/eV/f.u.
magnetic moment: 5.0 μB per cell
SG: P2/m, No. 10

A relaxed structure of ReNiIr4, computed with PBE.

CIF file:
```
data_ReNiIr4
_chemical_formula_sum 'Re1 Ni1 Ir4'
_cell_length_a 2.726
_cell_length_b 3.843
_cell_length_c 8.083
_cell_angle_alpha 90.00
_cell_angle_beta 90.00
_cell_angle_gamma 90.00
_space_group_name_H-M_alt 'P 1'
_space_group_IT_number 1
_space_group_name_Hall 'P 1'
loop_
_atom_site_label
_atom_site_type_symbol
_atom_site_fract_x
_atom_site_fract_y
_atom_site_fract_z
_atom_site_occupancy
Re1 Re 0.000 0.000 0.000 1
Ni1 Ni 0.500 0.500 0.500 1
Ir1 Ir 0.000 0.000 0.338 1
Ir2 Ir 0.000 0.000 0.662 1
Ir3 Ir 0.500 0.500 0.168 1
Ir4 Ir 0.500 0.500 0.832 1
```

## Properties
energy: -53.81 eV/f.u.
density of states at the Fermi level: 6.48 states/eV/f.u.
magnetic moment: 0.0 μB per cell
SG: Pmmm, No. 47

A relaxed structure of HoSc2Al2, computed with PBE.

CIF file:
```
data_HoSc2Al2
_chemical_formula_sum 'Ho2 Sc4 Al4'
_cell_length_a 5.284
_cell_length_b 3.459
_cell_length_c 12.850
_cell_angle_alpha 90.00
_cell_angle_beta 95.89
_cell_angle_gamma 90.00
_space_group_name_H-M_alt 'P 1'
_space_group_IT_number 1
_space_group_name_Hall 'P 1'
loop_
_atom_site_label
_atom_site_type_symbol
_atom_site_fract_x
_atom_site_fract_y
_atom_site_fract_z
_atom_site_occupancy
Ho1 Ho 0.186 0.250 0.242 1
Ho2 Ho 0.814 0.750 0.758 1
Sc1 Sc 0.242 0.750 0.468 1
Sc2 Sc 0.340 0.250 0.887 1
Sc3 Sc 0.660 0.750 0.113 1
Sc4 Sc 0.758 0.250 0.532 1
Al1 Al 0.162 0.750 0.044 1
Al2 Al 0.290 0.250 0.659 1
Al3 Al 0.710 0.750 0.341 1
Al4 Al 0.838 0.250 0.956 1
```

## Properties
energy: -25.70 eV/f.u.
density of states at the Fermi level: 5.67 states/eV/f.u.
magnetic moment: 1.3 μB per cell
SG: P2_1/m, No. 11

A relaxed structure of Tl2CuSbS4, computed with PBE.

CIF file:
```
data_Tl2CuSbS4
_chemical_formula_sum 'Tl2 Cu1 Sb1 S4'
_cell_length_a 6.590
_cell_length_b 6.590
_cell_length_c 7.251
_cell_angle_alpha 123.38
_cell_angle_beta 123.38
_cell_angle_gamma 77.81
_space_group_name_H-M_alt 'P 1'
_space_group_IT_number 1
_space_group_name_Hall 'P 1'
loop_
_atom_site_label
_atom_site_type_symbol
_atom_site_fract_x
_atom_site_fract_y
_atom_site_fract_z
_atom_site_occupancy
Tl1 Tl 0.000 0.000 0.000 1
Tl2 Tl 0.750 0.250 0.500 1
Cu1 Cu 0.249 0.751 0.500 1
Sb1 Sb 0.500 0.500 0.000 1
S1 S 0.196 0.509 0.613 1
S2 S 0.417 0.105 0.908 1
S3 S 0.491 0.804 0.387 1
S4 S 0.895 0.583 0.092 1
```

## Properties
energy: -31.47 eV/f.u.
magnetic moment: 0.0 μB per cell
SG: C2, No. 5